A plane-wave DFT calculation with GGA-PBE was carried out for crystalline YTlTe2 at its relaxed geometry.

Calculated values
ΔE_f (raw) in eV per atom: -1.0538

Unit cell a=4.4303 b=4.4303 c=25.0412 alpha=90.00 beta=90.00 gamma=120.00
With the nearest neighbours (Å) after each atom.
Space group R3m (No. 160, hexagonal axes)
Symmetry-distinct sites (fractional):
Y: 0.0000 0.0000 0.0000 (multiplicity 3)  6 Te 3.10-3.11
Tl: 0.0000 0.0000 0.8315 (multiplicity 3)  6 Te 3.49-3.54
Te: 0.0000 0.0000 0.4035 (multiplicity 3)  3 Y 3.10
Te: 0.0000 0.0000 0.5960 (multiplicity 3)  3 Y 3.11